Entry 1:
! GGA-PBE Rb3Ca2PaSe6, relaxed; values from VASP
&SYSTEM
  ibrav = 0, nat = 12, ntyp = 4
/
ATOMIC_SPECIES
Rb 85.47 Rb.upf
Ca 40.08 Ca.upf
Pa 231.04 Pa.upf
Se 78.96 Se.upf
CELL_PARAMETERS angstrom
3.7455 -6.4840 0.0000
3.7455 6.4840 0.0000
-2.4942 0.0000 7.9501
ATOMIC_POSITIONS crystal
Rb 0.0000 0.0000 0.0000
Rb 0.3279 0.6721 0.0000
Rb 0.6721 0.3279 0.0000
Ca 0.1661 0.8339 0.5000
Ca 0.8339 0.1661 0.5000
Pa 0.5000 0.5000 0.5000
Se 0.1213 0.4349 0.3047
Se 0.2533 0.2533 0.6969
Se 0.4349 0.1213 0.3047
Se 0.5651 0.8787 0.6953
Se 0.7467 0.7467 0.3031
Se 0.8787 0.5651 0.6953
! ΔE_f (raw) = -1.61 eV per atom
! Space-group type = C2/m



Entry 2:
! GGA-PBE Rb3CaPa3Te8, relaxed; values from VASP
&SYSTEM
  ibrav = 0, nat = 15, ntyp = 4
/
ATOMIC_SPECIES
Rb 85.47 Rb.upf
Ca 40.08 Ca.upf
Pa 231.04 Pa.upf
Te 127.60 Te.upf
CELL_PARAMETERS angstrom
4.4857 2.5898 8.7455
-4.4857 2.5898 8.7455
0.0000 -5.1796 8.7455
ATOMIC_POSITIONS crystal
Rb 0.0000 0.5000 0.5000
Rb 0.5000 0.0000 0.5000
Rb 0.5000 0.5000 0.0000
Ca 0.5000 0.5000 0.5000
Pa 0.0000 0.0000 0.5000
Pa 0.0000 0.5000 0.0000
Pa 0.5000 0.0000 0.0000
Te 0.2223 0.7397 0.7397
Te 0.2343 0.2343 0.2343
Te 0.2603 0.2603 0.7777
Te 0.2603 0.7777 0.2603
Te 0.7397 0.2223 0.7397
Te 0.7397 0.7397 0.2223
Te 0.7657 0.7657 0.7657
Te 0.7777 0.2603 0.2603
! ΔE_f (raw) = -1.04 eV per atom
! Space-group type = R-3m



Entry 3:
! GGA-PBE CaPaRh, relaxed; values from VASP
&SYSTEM
  ibrav = 0, nat = 3, ntyp = 3
/
ATOMIC_SPECIES
Ca 40.08 Ca.upf
Pa 231.04 Pa.upf
Rh 102.91 Rh.upf
CELL_PARAMETERS angstrom
-1.7342 1.7342 6.3929
1.7342 -1.7342 6.3929
1.7342 1.7342 -6.3929
ATOMIC_POSITIONS crystal
Ca 0.0000 0.0000 0.0000
Pa 0.2700 0.2700 0.0000
Rh 0.6645 0.6645 0.0000
! Calculated formation energy = -81 kJ/mol of formula units
! Space-group type = I4mm
! Relative energy among the computed polymorphs = 0 meV/atom



Entry 4:
! GGA-PBE Ca2PaRh3, relaxed; values from VASP
&SYSTEM
  ibrav = 0, nat = 12, ntyp = 3
/
ATOMIC_SPECIES
Ca 40.08 Ca.upf
Pa 231.04 Pa.upf
Rh 102.91 Rh.upf
CELL_PARAMETERS angstrom
2.5099 -7.2220 0.0000
2.5099 7.2220 0.0000
-0.0069 0.0000 6.9489
ATOMIC_POSITIONS crystal
Ca 0.0000 0.0000 0.0000
Ca 0.0000 0.0000 0.5000
Ca 0.3360 0.6640 0.0000
Ca 0.6640 0.3360 0.0000
Pa 0.3385 0.6615 0.5000
Pa 0.6615 0.3385 0.5000
Rh 0.1804 0.8186 0.7130
Rh 0.1814 0.8196 0.2870
Rh 0.4998 0.4998 0.2843
Rh 0.5002 0.5002 0.7157
Rh 0.8186 0.1804 0.7130
Rh 0.8196 0.1814 0.2870
! Calculated formation energy = -361 kJ/mol of formula units
! Space-group type = C2/m



Computed total magnetic moment (μB per cell) in order:
0.000, 4.012, 1.327, 0.000
Computed electronic total energy (eV per atom) in order:
-4.72, -4.94, -6.56, -6.55